Entry 1:
DFT (PBE) results for a relaxed ReHNF2 crystal.

a b c (Å): 2.973 2.973 5.179
angles (deg): 90.00 90.00 90.00
Positions (direct):
Re (0.000, 0.000, 0.000)
H (0.500, 0.500, 0.500)
N (0.500, 0.500, 0.000)
F (0.000, 0.500, 0.500)
F (0.500, 0.000, 0.500)

Calculated values
**Total DFT energy (no corrections)**: -27.0 eV/cell
**N(E_F)**: 2.0 states/eV/f.u.
**SG**: P4/mmm (123)

---

Entry 2:
DFT (PBE) results for a relaxed HRuN2F crystal.

a b c (Å): 3.764 3.764 4.182
angles (deg): 90.00 90.00 90.00
Positions (direct):
H (0.000, 0.000, 0.000)
Ru (0.500, 0.500, 0.500)
N (0.000, 0.500, 0.500)
N (0.500, 0.000, 0.500)
F (0.500, 0.500, 0.000)

Calculated values
**Total DFT energy (no corrections)**: -27.1 eV/cell
**N(E_F)**: 2.2 states/eV/f.u.
**SG**: P4/mmm (123)

---

Record order is preserved below.
Offset from the most stable computed form: 10.55; 0.00 kcal/mol of atoms